Here is ZnTeMo2 after structural relaxation from the Alexandria database. Energies are from PBE.

The crystal system is tetragonal. The uncorrected formation energy comes out at 4.69 kcal/mol of atoms. The relative energy among the computed polymorphs is 0.00 kJ per mole of atoms.

Cell lengths 3.3595, 3.3595, 6.1219 Å; angles 90.00, 90.00, 90.00 degrees
Space group P4mm (No. 99)
Asymmetric unit:
Zn 0.0000 0.0000 0.0000 [1 per cell]
Te 0.5000 0.5000 0.7033 [1 per cell]
Mo 0.0000 0.0000 0.4501 [1 per cell]
Mo 0.5000 0.5000 0.2046 [1 per cell]


Here is LiNiPdPb after structural relaxation from the Alexandria database. Energies are from PBE.

The energy of formation is -179 meV per atom. The crystal system is cubic.

Cell lengths 6.3447, 6.3447, 6.3447 Å; angles 90.00, 90.00, 90.00 degrees
Space group F-43m (No. 216)
Asymmetric unit:
Li 0.0000 0.0000 0.0000 [4 per cell]
Ni 0.2500 0.2500 0.2500 [4 per cell]
Pd 0.2500 0.2500 0.7500 [4 per cell]
Pb 0.0000 0.0000 0.5000 [4 per cell]


Here is ZnRe2PbW after structural relaxation from the Alexandria database. Energies are from PBE.

The energy of formation is 3119 meV per atom. The crystal system is tetragonal.

Cell lengths 4.9465, 4.9465, 4.5723 Å; angles 90.00, 90.00, 90.00 degrees
Space group P4/mmm (No. 123)
Asymmetric unit:
Zn 0.0000 0.0000 0.0000 [1 per cell]
Re 0.0000 0.5000 0.5000 [2 per cell]
Pb 0.0000 0.0000 0.5000 [1 per cell]
W 0.5000 0.5000 0.0000 [1 per cell]


Here is Pm2Er6Tm3Mg after structural relaxation from the Alexandria database. Energies are from PBE.

The energy of formation is 26 meV per atom. The crystal system is monoclinic.

Cell lengths 6.0615, 10.5068, 11.6358 Å; angles 90.00, 100.06, 90.00 degrees
Space group C2/m (No. 12)
Asymmetric unit:
Pm 0.0000 0.1663 0.0000 [4 per cell]
Er 0.2485 0.5000 0.7469 [4 per cell]
Er 0.2495 0.3340 0.2523 [8 per cell]
Tm 0.0000 0.0000 0.5000 [2 per cell]
Tm 0.0000 0.3344 0.5000 [4 per cell]
Mg 0.0000 0.5000 0.0000 [2 per cell]


Here is AcRhPbO6 after structural relaxation from the Alexandria database. Energies are from PBE.

The crystal system is trigonal. The uncorrected formation energy comes out at -33.87 kcal/mol of atoms.

Cell lengths 5.5407, 5.5407, 5.3077 Å; angles 90.00, 90.00, 120.00 degrees
Space group P312 (No. 149)
Asymmetric unit:
Ac 0.0000 0.0000 0.0000 [1 per cell]
Rh 0.6667 0.3333 0.5000 [1 per cell]
Pb 0.3333 0.6667 0.5000 [1 per cell]
O 0.3805 0.0319 0.7134 [6 per cell]


Here is Pb5W3 after structural relaxation from the Alexandria database. Energies are from PBE.

The energy of formation is 879 meV per atom. The crystal system is orthorhombic. The relative energy among the computed polymorphs is 13.14 kJ per mole of atoms.

Cell lengths 10.4947, 11.6795, 3.2801 Å; angles 90.00, 90.00, 90.00 degrees
Space group Cmmm (No. 65)
Asymmetric unit:
Pb 0.0000 0.0000 0.0000 [2 per cell]
Pb 0.2285 0.5000 0.5000 [4 per cell]
Pb 0.2500 0.2500 0.0000 [4 per cell]
W 0.0000 0.3210 0.5000 [4 per cell]
W 0.0000 0.5000 0.0000 [2 per cell]


Here is DyTh2Sn after structural relaxation from the Alexandria database. Energies are from PBE.

The energy of formation is 158 meV per atom. The crystal system is trigonal. The relative energy among the computed polymorphs is 48.67 kJ per mole of atoms.

Cell lengths 3.4940, 3.4940, 36.9726 Å; angles 90.00, 90.00, 120.00 degrees
Space group R-3m (No. 166, hexagonal axes)
Asymmetric unit:
Dy 0.0000 0.0000 0.0000 [3 per cell]
Th 0.0000 0.0000 0.4128 [6 per cell]
Sn 0.0000 0.0000 0.5000 [3 per cell]


Here is Th3Cu5O12 after structural relaxation from the Alexandria database. Energies are from PBE.

The crystal system is cubic. The uncorrected formation energy comes out at -43.40 kcal/mol of atoms.

Cell lengths 12.6564, 12.6564, 12.6564 Å; angles 90.00, 90.00, 90.00 degrees
Space group Ia-3d (No. 230)
Asymmetric unit:
Th 0.0000 0.2500 0.1250 [24 per cell]
Cu 0.0000 0.0000 0.0000 [16 per cell]
Cu 0.0000 0.2500 0.3750 [24 per cell]
O 0.0238 0.0565 0.6489 [96 per cell]


Summary of magnetization in μB per cell
0.00; 0.00; 0.00; 0.00; 2.04; 0.00; 0.00; 0.36
(order as listed above)